Entry from Alexandria: a relaxed InGa3Cu crystal (PBE).

```
InGa3Cu
1.0
-0.309 -4.248 -2.176
4.008 0.953 -2.430
2.592 -1.980 3.498
In Ga Cu
1 3 1
direct
0.500 0.500 0.500 In
0.000 0.500 0.000 Ga
0.000 0.000 0.500 Ga
0.500 0.000 0.000 Ga
0.000 0.000 0.000 Cu
```

Properties
Its distance to the lowest polymorph of the same formula is 0.689 eV per formula unit. As for the calculated formation energy: 119 meV/atom. The value obtained for the total magnetization is 0.0 μB per cell. The calculation puts the theoretical density at 5.88 g cm⁻³. The total energy is -15.32 eV/cell.

Entry from Alexandria: a relaxed InGa2Cu3 crystal (PBE).

```
InGa2Cu3
1.0
-0.251 -4.544 -2.959
6.261 -0.661 0.483
-3.132 -2.870 4.673
Cu In Ga
6 2 4
direct
0.250 0.765 0.765 Cu
0.750 0.503 0.019 Cu
0.250 0.981 0.497 Cu
0.250 0.497 0.981 Cu
0.750 0.235 0.235 Cu
0.750 0.019 0.503 Cu
0.750 0.620 0.620 In
0.250 0.380 0.380 In
0.000 0.866 0.134 Ga
0.000 0.134 0.866 Ga
0.500 0.134 0.866 Ga
0.500 0.866 0.134 Ga
```

Properties
As for the calculated formation energy: 34 meV/atom. The value obtained for the total magnetization is 0.0 μB per cell. The calculation puts the theoretical density at 7.41 g cm⁻³. The total energy is -41.76 eV/cell.

Entry from Alexandria: a relaxed In3GaCu crystal (PBE).

```
In3GaCu
1.0
-3.706 0.986 -3.340
2.293 -2.980 -3.425
-2.621 -4.002 1.727
Cu In Ga
1 3 1
direct
0.000 0.000 0.000 Cu
0.000 0.500 0.000 In
0.000 0.000 0.500 In
0.500 0.000 0.000 In
0.500 0.500 0.500 Ga
```

Properties
Its distance to the lowest polymorph of the same formula is 0.000 eV per formula unit. As for the calculated formation energy: 209 meV/atom. The value obtained for the total magnetization is 0.0 μB per cell. The calculation puts the theoretical density at 6.03 g cm⁻³. The total energy is -14.29 eV/cell.

Entry from Alexandria: a relaxed InGaCu2 crystal (PBE).

```
InGaCu2
1.0
-3.473 0.362 1.560
0.972 -2.796 2.813
1.407 2.951 2.447
Cu In Ga
2 1 1
direct
0.000 0.000 0.500 Cu
0.000 0.500 0.000 Cu
0.500 0.500 0.500 In
0.500 0.000 0.000 Ga
```

Properties
As for the calculated formation energy: 92 meV/atom. The value obtained for the total magnetization is 0.0 μB per cell. The calculation puts the theoretical density at 8.11 g cm⁻³. The total energy is -13.59 eV/cell.

Entry from Alexandria: a relaxed In2Ga8Cu crystal (PBE).

```
In2Ga8Cu
1.0
-3.028 2.690 -0.534
-2.719 -2.841 1.108
1.169 3.832 12.687
Ga In Cu
8 2 1
direct
0.000 0.500 0.500 Ga
0.500 0.500 0.733 Ga
0.500 0.500 0.267 Ga
0.500 0.000 0.500 Ga
0.500 0.000 0.115 Ga
0.500 0.000 0.885 Ga
0.000 0.500 0.885 Ga
0.000 0.500 0.115 Ga
0.000 0.000 0.324 In
0.000 0.000 0.676 In
0.000 0.000 0.000 Cu
```

Properties
As for the calculated formation energy: 21 meV/atom. The value obtained for the total magnetization is 0.0 μB per cell. The calculation puts the theoretical density at 6.36 g cm⁻³. The total energy is -33.56 eV/cell.

Entry from Alexandria: a relaxed In3GaCu crystal (PBE).

```
In3GaCu
1.0
5.332 0.000 0.000
0.000 5.332 0.000
0.000 0.000 5.332
Ga In Cu
1 3 1
direct
0.000 0.000 0.000 Ga
0.000 0.500 0.000 In
0.500 0.000 0.000 In
0.000 0.000 0.500 In
0.500 0.500 0.500 Cu
```

Properties
Its distance to the lowest polymorph of the same formula is 1.834 eV per formula unit. As for the calculated formation energy: 576 meV/atom. The value obtained for the total magnetization is 0.0 μB per cell. The calculation puts the theoretical density at 5.23 g cm⁻³. The total energy is -12.46 eV/cell.

- Among the records above, which one has the lowest calculated formation energy?
  In2Ga8Cu